A plane-wave DFT calculation with PBE was carried out for V2CrRuN after structural relaxation.

Uncorrected energy ... -0.701 Ry/atom
Formation energy from raw total energies ... -444 meV per atom

```
V2CrRuN
1.0
3.9304 0.0000 0.0000
0.0000 3.9304 0.0000
0.0000 0.0000 3.7884
Ru N V Cr
1 1 2 1
Direct
0.5000 0.5000 0.5000
0.0000 0.0000 0.0000
0.0000 0.5000 0.0000
0.5000 0.0000 0.0000
0.0000 0.0000 0.5000
```